## 1
DFT (PBE-GGA) results for a geometry-optimized ScIr2Br structure.

Properties
Its symmetry is P4/mmm, No. 123.

Lattice parameters (Å, degrees): 4.3864 3.9487 3.9487 90.00 90.00 90.00
Last column: nearest neighbours and their distance in Å.
Positions (direct):
1 Br 0.5000 0.0000 0.5000  4 Sc 2.79, 8 Ir 2.95
2 Ir 0.0000 0.0000 0.0000  4 Ir 2.79, 4 Sc 2.95, 4 Br 2.95
3 Ir 0.0000 0.5000 0.5000  4 Ir 2.79, 4 Br 2.95, 4 Sc 2.95
4 Sc 0.5000 0.5000 0.0000  4 Br 2.79, 8 Ir 2.95

---

## 2
DFT (PBE-GGA) results for a geometry-optimized ScIr2Br structure.

Properties
Its symmetry is Fm-3m, No. 225.

Lattice parameters (Å, degrees): 4.6207 4.6207 4.6207 60.00 60.00 60.00
Last column: nearest neighbours and their distance in Å.
Positions (direct):
1 Sc 0.0000 0.0000 0.0000  8 Ir 2.83
2 Ir 0.2500 0.2500 0.2500  4 Br 2.83, 4 Sc 2.83
3 Ir 0.7500 0.7500 0.7500  4 Br 2.83, 4 Sc 2.83
4 Br 0.5000 0.5000 0.5000  8 Ir 2.83

---

Order of stability, best first: 1, 2

---

## 1
DFT (PBE-GGA) results for a geometry-optimized CuN structure.

Properties
Its symmetry is Fm-3m, No. 225.

Lattice parameters (Å, degrees): 2.9484 2.9484 2.9484 60.00 60.00 60.00
Last column: nearest neighbours and their distance in Å.
Positions (direct):
1 Cu 0.0000 0.0000 0.0000  6 N 2.08
2 N 0.5000 0.5000 0.5000  6 Cu 2.08

---

## 2
DFT (PBE-GGA) results for a geometry-optimized CuN structure.

Properties
Its symmetry is Pmmn, No. 59.

Lattice parameters (Å, degrees): 3.5676 3.7304 9.7030 90.00 90.00 90.00
Last column: nearest neighbours and their distance in Å.
Positions (direct):
1 Cu 0.0000 0.7806 0.8377  4 N 1.89-1.94
2 Cu 0.5000 0.2194 0.6623  4 N 1.89-1.94
3 Cu 0.5000 0.2194 0.3377  4 N 1.89-1.94
4 Cu 0.0000 0.7806 0.1623  4 N 1.89-1.94
5 Cu 0.0000 0.6983 0.5000  4 N 1.93-1.97
6 Cu 0.5000 0.3017 0.0000  4 N 1.93-1.97
7 N 0.0000 0.0146 0.6620  4 Cu 1.92-1.97
8 N 0.5000 0.9854 0.8380  4 Cu 1.92-1.97
9 N 0.5000 0.9854 0.1620  4 Cu 1.92-1.97
10 N 0.0000 0.0146 0.3380  4 Cu 1.92-1.97
11 N 0.0000 0.4996 0.0000  4 Cu 1.89-1.93
12 N 0.5000 0.5004 0.5000  4 Cu 1.89-1.93

---

Order of stability, best first: 2, 1

---

## 1
DFT (PBE-GGA) results for a geometry-optimized HfScRu structure.

Properties
Its symmetry is Cm, No. 8.

Lattice parameters (Å, degrees): 7.5061 3.2690 11.1735 90.00 120.17 90.00
Last column: nearest neighbours and their distance in Å.
Positions (direct):
1 Hf 0.1254 0.0000 0.9227  4 Ru 2.68-2.78
2 Hf 0.1254 0.5000 0.4227  4 Ru 2.68-2.78
3 Hf 0.6902 0.0000 0.1802  3 Ru 2.57-2.67
4 Hf 0.6902 0.5000 0.6802  3 Ru 2.57-2.67
5 Sc 0.8039 0.0000 0.4859  3 Ru 2.68-2.71
6 Sc 0.8039 0.5000 0.9859  3 Ru 2.68-2.71
7 Sc 0.3641 0.0000 0.7391  4 Ru 2.74-2.90
8 Sc 0.3641 0.5000 0.2391  4 Ru 2.74-2.90
9 Ru 0.0468 0.0000 0.2002  3 Hf 2.57-2.78, 4 Sc 2.71-2.74
10 Ru 0.0468 0.5000 0.7002  3 Hf 2.57-2.78, 4 Sc 2.71-2.74
11 Ru 0.4392 0.0000 0.4745  4 Hf 2.67-2.68, 3 Sc 2.68-2.90
12 Ru 0.4392 0.5000 0.9745  4 Hf 2.67-2.68, 3 Sc 2.68-2.90

---

## 2
DFT (PBE-GGA) results for a geometry-optimized HfScRu structure.

Properties
Its symmetry is Amm2, No. 38.

Lattice parameters (Å, degrees): 4.7676 3.2884 14.4634 90.00 90.00 90.00
Last column: nearest neighbours and their distance in Å.
Positions (direct):
1 Hf 0.5000 0.0000 0.8044  6 Ru 2.69-2.90
2 Hf 0.5000 0.5000 0.3044  6 Ru 2.69-2.90
3 Hf 0.0000 0.0000 0.6546  2 Ru 2.63
4 Hf 0.0000 0.5000 0.1546  2 Ru 2.63
5 Sc 0.5000 0.0000 0.1016  2 Ru 2.72, 4 Hf 3.00
6 Sc 0.5000 0.5000 0.6016  2 Ru 2.72, 4 Hf 3.00
7 Sc 0.0000 0.0000 0.9559  6 Ru 2.83-2.90
8 Sc 0.0000 0.5000 0.4559  6 Ru 2.83-2.90
9 Ru 0.5000 0.0000 0.4517  2 Hf 2.69, 6 Sc 2.72-2.90
10 Ru 0.5000 0.5000 0.9517  2 Hf 2.69, 6 Sc 2.72-2.90
11 Ru 0.0000 0.0000 0.2969  6 Hf 2.63-2.90, 2 Sc 2.83
12 Ru 0.0000 0.5000 0.7969  6 Hf 2.63-2.90, 2 Sc 2.83

---

Order of stability, best first: 2, 1